# HfGe2P, relaxed, DFT PBE
data_HfGe2P
_chemical_formula_sum 'Hf4 Ge8 P4'
_symmetry_space_group_name_H-M 'I -4 2 d'
_symmetry_Int_Tables_number 122
_symmetry_space_group_name_Hall 'I -4 2bw'
_cell_length_a 7.410
_cell_length_b 7.410
_cell_length_c 5.363
_cell_angle_alpha 90.00
_cell_angle_beta 90.00
_cell_angle_gamma 90.00
loop_
_atom_site_label
_atom_site_type_symbol
_atom_site_fract_x
_atom_site_fract_y
_atom_site_fract_z
Hf1 Hf 0.000 0.000 0.000
Ge1 Ge 0.227 0.250 0.625
P1 P 0.000 0.000 0.500
# E_form in eV per atom: 0.02
# Magnetization in μB per formula unit: 0.00
# Theoretical density in kg/m³: 8000
# Uncorrected energy in eV/atom: -6.133